First-principles (meta-GGA SCAN) data for a crystal of TaMoIr2 relaxed with PBEsol, as listed in the Alexandria database.

The structure belongs to space group Pmm2 (No. 25); the cell edges are 2.7837, 4.4944 and 4.8168 Å and the angles 90.00°, 90.00° and 90.00°. The asymmetric unit holds Ta at (0.0000, 0.0000, 0.0000), Mo at (0.0000, 0.5000, 0.3620), Ir at (0.5000, 0.0000, 0.4983) and Ir at (0.5000, 0.5000, 0.8595).

The volume comes out at 15.1 Å³/atom. The offset from the most stable computed form is 65 meV/atom. As for the formation energy: -2.11 eV per formula unit. As for the density of states at the Fermi level: 0.88 states/eV/atom.

First-principles (meta-GGA SCAN) data for a crystal of TaMoIr2 relaxed with PBEsol, as listed in the Alexandria database.

The structure belongs to space group Pmmm (No. 47); the cell edges are 2.7896, 3.8758 and 5.5629 Å and the angles 90.00°, 90.00° and 90.00°. The asymmetric unit holds Ta at (0.0000, 0.0000, 0.0000), Mo at (0.0000, 0.0000, 0.5000) and Ir at (0.5000, 0.5000, 0.2560).

The volume comes out at 15.0 Å³/atom. The offset from the most stable computed form is 19 meV/atom. As for the formation energy: -2.30 eV per formula unit. As for the density of states at the Fermi level: 0.74 states/eV/atom.

First-principles (meta-GGA SCAN) data for a crystal of TaMoIr2 relaxed with PBEsol, as listed in the Alexandria database.

The structure belongs to space group P4/mmm (No. 123); the cell edges are 3.3520, 3.3520 and 5.4981 Å and the angles 90.00°, 90.00° and 90.00°. The asymmetric unit holds Ta at (0.0000, 0.0000, 0.0000), Mo at (0.0000, 0.0000, 0.5000) and Ir at (0.5000, 0.5000, 0.2539).

The volume comes out at 15.4 Å³/atom. The offset from the most stable computed form is 320 meV/atom. As for the formation energy: -1.09 eV per formula unit. As for the density of states at the Fermi level: 0.82 states/eV/atom.

First-principles (meta-GGA SCAN) data for a crystal of TaMoIr2 relaxed with PBEsol, as listed in the Alexandria database.

The structure belongs to space group Cm (No. 8); the cell edges are 9.1737, 2.7978 and 4.8057 Å and the angles 90.00°, 99.02° and 90.00°. The asymmetric unit holds Ta at (0.0000, 0.0000, 0.0000), Mo at (0.2664, 0.5000, 0.3097), Ir at (0.0086, 0.5000, 0.4998) and Ir at (0.2534, 0.0000, 0.7937).

The volume comes out at 15.2 Å³/atom. The offset from the most stable computed form is 157 meV/atom. As for the formation energy: -1.74 eV per formula unit. As for the density of states at the Fermi level: 0.72 states/eV/atom.

First-principles (meta-GGA SCAN) data for a crystal of TaMoIr2 relaxed with PBEsol, as listed in the Alexandria database.

The structure belongs to space group I4/mmm (No. 139); the cell edges are 3.9390, 3.9390 and 7.7524 Å and the angles 90.00°, 90.00° and 90.00°. The asymmetric unit holds Ta at (0.0000, 0.0000, 0.0000), Mo at (0.0000, 0.0000, 0.5000) and Ir at (0.0000, 0.5000, 0.2500).

The volume comes out at 15.0 Å³/atom. The offset from the most stable computed form is 11 meV/atom. As for the formation energy: -2.32 eV per formula unit. As for the density of states at the Fermi level: 0.71 states/eV/atom.

First-principles (meta-GGA SCAN) data for a crystal of Ta2MoIr relaxed with PBEsol, as listed in the Alexandria database.

The structure belongs to space group Fm-3m (No. 225); the cell edges are 6.3467, 6.3467 and 6.3467 Å and the angles 90.00°, 90.00° and 90.00°. The asymmetric unit holds Ta at (0.2500, 0.2500, 0.2500), Mo at (0.0000, 0.0000, 0.0000) and Ir at (0.0000, 0.0000, 0.5000).

The volume comes out at 16.0 Å³/atom. As for the formation energy: -2.06 eV per formula unit. As for the density of states at the Fermi level: 0.66 states/eV/atom.

First-principles (meta-GGA SCAN) data for a crystal of TaMoIr2 relaxed with PBEsol, as listed in the Alexandria database.

The structure belongs to space group Cmmm (No. 65); the cell edges are 5.5632, 7.7479 and 2.7901 Å and the angles 90.00°, 90.00° and 90.00°. The asymmetric unit holds Ta at (0.0000, 0.0000, 0.0000), Mo at (0.0000, 0.5000, 0.0000) and Ir at (0.2500, 0.2500, 0.5000).

The volume comes out at 15.0 Å³/atom. The offset from the most stable computed form is 19 meV/atom. As for the formation energy: -2.30 eV per formula unit. As for the density of states at the Fermi level: 0.73 states/eV/atom.

First-principles (meta-GGA SCAN) data for a crystal of Ta2MoIr relaxed with PBEsol, as listed in the Alexandria database.

The structure belongs to space group P4/mmm (No. 123); the cell edges are 3.2122, 3.2122 and 6.2337 Å and the angles 90.00°, 90.00° and 90.00°. The asymmetric unit holds Ta at (0.0000, 0.0000, 0.2465), Mo at (0.5000, 0.5000, 0.0000) and Ir at (0.5000, 0.5000, 0.5000).

The volume comes out at 16.1 Å³/atom. As for the formation energy: -1.87 eV per formula unit. As for the density of states at the Fermi level: 0.60 states/eV/atom.

First-principles (meta-GGA SCAN) data for a crystal of TcMoIr2 relaxed with PBEsol, as listed in the Alexandria database.

The structure belongs to space group Pmmm (No. 47); the cell edges are 2.7100, 3.8739 and 5.4209 Å and the angles 90.00°, 90.00° and 90.00°. The asymmetric unit holds Tc at (0.0000, 0.0000, 0.0000), Mo at (0.0000, 0.0000, 0.5000) and Ir at (0.5000, 0.5000, 0.2460).

The volume comes out at 14.2 Å³/atom. The offset from the most stable computed form is 106 meV/atom. As for the formation energy: -1.28 eV per formula unit. As for the density of states at the Fermi level: 0.76 states/eV/atom.

First-principles (meta-GGA SCAN) data for a crystal of TcMoIr2 relaxed with PBEsol, as listed in the Alexandria database.

The structure belongs to space group Pmm2 (No. 25); the cell edges are 2.7234, 4.3667 and 4.7681 Å and the angles 90.00°, 90.00° and 90.00°. The asymmetric unit holds Tc at (0.0000, 0.0000, 0.0000), Mo at (0.0000, 0.5000, 0.3341), Ir at (0.5000, 0.0000, 0.5018) and Ir at (0.5000, 0.5000, 0.8436).

The volume comes out at 14.2 Å³/atom. The offset from the most stable computed form is 0 meV/atom. As for the formation energy: -1.70 eV per formula unit. As for the density of states at the Fermi level: 0.46 states/eV/atom.

First-principles (meta-GGA SCAN) data for a crystal of TcMoIr2 relaxed with PBEsol, as listed in the Alexandria database.

The structure belongs to space group Cmmm (No. 65); the cell edges are 5.4151, 7.7482 and 2.7117 Å and the angles 90.00°, 90.00° and 90.00°. The asymmetric unit holds Tc at (0.0000, 0.0000, 0.0000), Mo at (0.0000, 0.5000, 0.0000) and Ir at (0.2500, 0.2500, 0.5000).

The volume comes out at 14.2 Å³/atom. The offset from the most stable computed form is 102 meV/atom. As for the formation energy: -1.30 eV per formula unit. As for the density of states at the Fermi level: 0.72 states/eV/atom.

First-principles (meta-GGA SCAN) data for a crystal of TcMoIr relaxed with PBEsol, as listed in the Alexandria database.

The structure belongs to space group F-43m (No. 216); the cell edges are 5.8807, 5.8807 and 5.8807 Å and the angles 90.00°, 90.00° and 90.00°. The asymmetric unit holds Tc at (0.0000, 0.0000, 0.0000), Mo at (0.2500, 0.2500, 0.7500) and Ir at (0.2500, 0.2500, 0.2500).

The volume comes out at 16.9 Å³/atom. The offset from the most stable computed form is 572 meV/atom. As for the formation energy: 1.39 eV per formula unit. As for the density of states at the Fermi level: 1.34 states/eV/atom.

First-principles (meta-GGA SCAN) data for a crystal of TcMoIr relaxed with PBEsol, as listed in the Alexandria database.

The structure belongs to space group Imm2 (No. 44); the cell edges are 2.6818, 3.9020 and 8.2742 Å and the angles 90.00°, 90.00° and 90.00°. The asymmetric unit holds Tc at (0.0000, 0.0000, 0.0000), Mo at (0.0000, 0.0000, 0.3300) and Ir at (0.0000, 0.0000, 0.6619).

The volume comes out at 14.4 Å³/atom. The offset from the most stable computed form is 0 meV/atom. As for the formation energy: -0.33 eV per formula unit. As for the density of states at the Fermi level: 0.89 states/eV/atom.

First-principles (meta-GGA SCAN) data for a crystal of TcMoIr2 relaxed with PBEsol, as listed in the Alexandria database.

The structure belongs to space group P4/mmm (No. 123); the cell edges are 3.8319, 3.8319 and 3.8718 Å and the angles 90.00°, 90.00° and 90.00°. The asymmetric unit holds Tc at (0.0000, 0.0000, 0.0000), Mo at (0.5000, 0.5000, 0.0000) and Ir at (0.0000, 0.5000, 0.5000).

The volume comes out at 14.2 Å³/atom. The offset from the most stable computed form is 72 meV/atom. As for the formation energy: -1.42 eV per formula unit. As for the density of states at the Fermi level: 0.64 states/eV/atom.

First-principles (meta-GGA SCAN) data for a crystal of TcMoIr2 relaxed with PBEsol, as listed in the Alexandria database.

The structure belongs to space group I4/mmm (No. 139); the cell edges are 3.8308, 3.8308 and 7.7527 Å and the angles 90.00°, 90.00° and 90.00°. The asymmetric unit holds Tc at (0.0000, 0.0000, 0.0000), Mo at (0.0000, 0.0000, 0.5000) and Ir at (0.0000, 0.5000, 0.2500).

The volume comes out at 14.2 Å³/atom. The offset from the most stable computed form is 80 meV/atom. As for the formation energy: -1.39 eV per formula unit. As for the density of states at the Fermi level: 0.62 states/eV/atom.